The following is a PBE calculation of an optimized crystal structure of Y3Hg5, from Alexandria via LeMat-Bulk.

Unit cell a=6.372 b=6.372 c=10.210 alpha=90.00 beta=90.00 gamma=75.14
Atoms (fractional coordinates):
Y  0.065  0.935  0.750
Y  0.288  0.288  0.000
Y  0.288  0.288  0.500
Y  0.712  0.712  0.000
Y  0.712  0.712  0.500
Y  0.935  0.065  0.250
Hg  0.026  0.537  0.250
Hg  0.207  0.793  0.028
Hg  0.207  0.793  0.472
Hg  0.463  0.974  0.250
Hg  0.467  0.533  0.750
Hg  0.533  0.467  0.250
Hg  0.537  0.026  0.750
Hg  0.793  0.207  0.528
Hg  0.793  0.207  0.972
Hg  0.974  0.463  0.750

Results
The calculation puts the energy above the most stable polymorph in this dataset at 0.0 meV per atom. Its final energy is -49.2 eV for the cell shown. The value obtained for the formation energy from the elements is -0.463 eV per atom.

***

The following is a PBE calculation of an optimized crystal structure of YHg5, from Alexandria via LeMat-Bulk.

Unit cell a=5.151 b=5.151 c=6.492 alpha=95.16 beta=95.16 gamma=59.43
Atoms (fractional coordinates):
Y  0.000  0.000  0.000
Hg  0.000  0.000  0.500
Hg  0.327  0.327  0.758
Hg  0.342  0.342  0.243
Hg  0.658  0.658  0.757
Hg  0.673  0.673  0.242

Results
Its final energy is -9.2 eV for the cell shown. The value obtained for the formation energy from the elements is -0.200 eV per atom.

***

The following is a PBE calculation of an optimized crystal structure of YHg6, from Alexandria via LeMat-Bulk.

Unit cell a=4.866 b=4.866 c=7.653 alpha=90.00 beta=90.00 gamma=90.00
Atoms (fractional coordinates):
Y  0.000  0.000  0.000
Hg  0.000  0.000  0.500
Hg  0.000  0.500  0.272
Hg  0.000  0.500  0.728
Hg  0.500  0.000  0.272
Hg  0.500  0.000  0.728
Hg  0.500  0.500  0.000

Results
The calculation puts the energy above the most stable polymorph in this dataset at 0.0 meV per atom. Its final energy is -9.5 eV for the cell shown. The value obtained for the formation energy from the elements is -0.170 eV per atom.

***

The following is a PBE calculation of an optimized crystal structure of YHg4, from Alexandria via LeMat-Bulk.

Unit cell a=5.484 b=9.307 c=5.280 alpha=90.00 beta=90.00 gamma=90.00
Atoms (fractional coordinates):
Y  0.000  0.000  0.000
Y  0.500  0.500  0.000
Hg  0.004  0.339  0.000
Hg  0.164  0.154  0.500
Hg  0.336  0.654  0.500
Hg  0.496  0.839  0.000
Hg  0.504  0.161  0.000
Hg  0.664  0.346  0.500
Hg  0.836  0.846  0.500
Hg  0.996  0.661  0.000

Results
The calculation puts the energy above the most stable polymorph in this dataset at 0.0 meV per atom. Its final energy is -17.6 eV for the cell shown. The value obtained for the formation energy from the elements is -0.222 eV per atom.